Density functional theory data (GGA-PBE) for a relaxed MnInMo crystal.

## Properties
* E: -7.2589 eV/atom
* calculated formation energy: 0.96 eV per formula unit

Cell: 4.4564 4.4564 2.8327 Å, 90.00 90.00 120.00°
Closest atoms and distances in Å follow each position.
Element x y z (fractional)
Mn: 0.0000 0.0000 0.0000  3 Mo 2.65, 3 In 2.73, 2 Mn 2.83
In: 0.3333 0.6667 0.6732  3 Mn 2.73, 2 In 2.83, 6 Mo 2.87-3.01
Mo: 0.6667 0.3333 0.2237  3 Mn 2.65, 2 Mo 2.83, 3 In 2.87



Density functional theory data (GGA-PBE) for a relaxed MnInMo2 crystal.

## Properties
* E: -7.9561 eV/atom
* calculated formation energy: 1.75 eV per formula unit

Cell: 9.0909 9.0909 9.0909 Å, 18.35 18.35 18.35°
Closest atoms and distances in Å follow each position.
Element x y z (fractional)
Mn: 0.0000 0.0000 0.0000  6 Mo 2.60, 6 Mn 2.90
In: 0.5000 0.5000 0.5000  6 In 2.90, 6 Mo 2.99
Mo: 0.2591 0.2591 0.2591  3 Mn 2.60, 6 Mo 2.90
Mo: 0.7409 0.7409 0.7409  3 Mn 2.60, 6 Mo 2.90



Density functional theory data (GGA-PBE) for a relaxed MnInMo2 crystal.

## Properties
* E: -8.0937 eV/atom
* calculated formation energy: 1.20 eV per formula unit

Cell: 2.7707 4.3845 5.5515 Å, 90.00 101.92 90.00°
Closest atoms and distances in Å follow each position.
Element x y z (fractional)
Mn: 0.0000 0.0000 0.0000  3 Mo 2.67-2.70, 2 Mn 2.77, 2 In 2.77
In: 0.2121 0.5000 0.7341  2 In 2.77, 2 Mn 2.77, 6 Mo 2.83-3.07
Mo: 0.5475 0.0000 0.4552  4 Mo 2.64-2.77, 1 Mn 2.67, 2 In 2.94
Mo: 0.7394 0.5000 0.2277  4 Mo 2.64-2.77, 2 Mn 2.70, 2 In 2.83-2.85



Copy entry 3 word for word.
Density functional theory data (GGA-PBE) for a relaxed MnInMo2 crystal.

## Properties
* E: -8.0937 eV/atom
* calculated formation energy: 1.20 eV per formula unit

Cell: 2.7707 4.3845 5.5515 Å, 90.00 101.92 90.00°
Closest atoms and distances in Å follow each position.
Element x y z (fractional)
Mn: 0.0000 0.0000 0.0000  3 Mo 2.67-2.70, 2 Mn 2.77, 2 In 2.77
In: 0.2121 0.5000 0.7341  2 In 2.77, 2 Mn 2.77, 6 Mo 2.83-3.07
Mo: 0.5475 0.0000 0.4552  4 Mo 2.64-2.77, 1 Mn 2.67, 2 In 2.94
Mo: 0.7394 0.5000 0.2277  4 Mo 2.64-2.77, 2 Mn 2.70, 2 In 2.83-2.85



E of number 2 (MnInMo2)? -7.9561 eV/atom



The lowest E belongs to which entry? number 3